1.
! TbDy7Sc4 (GGA-PBE, relaxed); values from VASP
&SYSTEM
  ibrav = 0, nat = 12, ntyp = 3
/
ATOMIC_SPECIES
Tb 158.93 Tb.upf
Dy 162.50 Dy.upf
Sc 44.96 Sc.upf
CELL_PARAMETERS angstrom
6.028 0.000 0.000
0.007 6.955 0.000
2.017 0.003 8.312
ATOMIC_POSITIONS angstrom
Tb 0.000 0.000 0.000
Dy 0.003 3.477 0.000
Dy 2.034 6.953 2.798
Dy 3.044 1.782 5.488
Dy 5.007 5.186 8.270
Dy 3.044 1.772 0.041
Dy 5.007 5.176 2.824
Dy 6.018 0.005 5.513
Sc 1.992 3.481 2.824
Sc 2.998 5.181 5.505
Sc 5.053 1.777 2.807
Sc 6.059 3.477 5.488
! - ΔE_f (eV/atom) = 0.020

***

2.
! NdGdRuAu (GGA-PBE, relaxed); values from VASP
&SYSTEM
  ibrav = 0, nat = 4, ntyp = 4
/
ATOMIC_SPECIES
Nd 144.24 Nd.upf
Gd 157.25 Gd.upf
Ru 101.07 Ru.upf
Au 196.97 Au.upf
CELL_PARAMETERS angstrom
0.000 3.576 3.576
3.576 0.000 3.576
3.576 3.576 0.000
ATOMIC_POSITIONS angstrom
Nd 0.000 0.000 0.000
Gd 3.576 3.576 3.576
Ru 1.788 1.788 1.788
Au 5.364 5.364 5.364
! - ΔE_f (eV/atom) = -0.468

***

3.
! PuAgSn2 (GGA-PBE, relaxed); values from VASP
&SYSTEM
  ibrav = 0, nat = 4, ntyp = 3
/
ATOMIC_SPECIES
Pu 244.00 Pu.upf
Ag 107.87 Ag.upf
Sn 118.71 Sn.upf
CELL_PARAMETERS angstrom
4.677 0.000 0.000
0.000 4.677 0.000
0.000 0.000 4.392
ATOMIC_POSITIONS angstrom
Pu 0.000 0.000 0.000
Ag 2.338 2.338 0.000
Sn 0.000 2.338 2.196
Sn 2.338 0.000 2.196
! - ΔE_f (eV/atom) = -0.242

***

4.
! Mg2F (GGA-PBE, relaxed); values from VASP
&SYSTEM
  ibrav = 0, nat = 6, ntyp = 2
/
ATOMIC_SPECIES
Mg 24.30 Mg.upf
F 19.00 F.upf
CELL_PARAMETERS angstrom
4.872 0.000 0.000
0.000 3.174 0.000
-0.349 0.000 6.917
ATOMIC_POSITIONS angstrom
Mg 0.978 0.794 2.635
Mg 0.842 0.794 6.130
Mg 3.682 2.381 0.787
Mg 3.545 2.381 4.281
F 2.197 0.794 4.461
F 2.327 2.381 2.456
! - offset from the most stable computed form (eV per atom) = 0.0371
! - uncorrected formation energy (eV/atom) = -1.53

***

5.
! BaClF (GGA-PBE, relaxed); values from VASP
&SYSTEM
  ibrav = 0, nat = 3, ntyp = 3
/
ATOMIC_SPECIES
Ba 137.33 Ba.upf
Cl 35.45 Cl.upf
F 19.00 F.upf
CELL_PARAMETERS angstrom
-1.885 1.885 5.194
1.885 -1.885 5.194
1.885 1.885 -5.194
ATOMIC_POSITIONS angstrom
Ba 0.000 0.000 0.000
Cl 0.000 0.000 3.128
F 0.000 0.000 5.953
! - offset from the most stable computed form (eV per atom) = 0.3194
! - uncorrected formation energy (eV/atom) = -2.94

***

6.
! CaAuNO2 (GGA-PBE, relaxed); values from VASP
&SYSTEM
  ibrav = 0, nat = 5, ntyp = 4
/
ATOMIC_SPECIES
Ca 40.08 Ca.upf
Au 196.97 Au.upf
N 14.01 N.upf
O 16.00 O.upf
CELL_PARAMETERS angstrom
4.326 0.000 0.000
0.000 4.326 0.000
0.000 0.000 4.712
ATOMIC_POSITIONS angstrom
Ca 0.000 0.000 0.000
Au 2.163 2.163 2.356
N 0.000 0.000 2.356
O 0.000 2.163 0.000
O 2.163 0.000 0.000
! - uncorrected formation energy (eV/atom) = 0.83

***

Volume / Å³/atom: 29.04; 22.87; 24.02; 17.83; 24.61; 17.64